Density functional theory data (SCAN) for a PBEsol-optimized structure of MgSb2As.

abc: 5.2777 5.2777 5.2777
angles: 126.07 126.07 79.77
Positions (direct):
Mg  0.0000  0.0000  0.0000
Sb  0.2500  0.7500  0.5000
Sb  0.5000  0.5000  0.0000
As  0.7500  0.2500  0.5000

Computed properties:
**E**: -24.780 eV/atom
**Mass density**: 6.14 g cm⁻³
**Space-group type**: I-4m2, No. 119
**ΔE_f (raw)**: 0.6 eV per formula unit
**Energy above the lowest structure with this stoichiometry**: 142.9 meV/atom
**Spin magnetization**: 0.0 μB/cell

---

Density functional theory data (SCAN) for a PBEsol-optimized structure of Mg2SbAs.

abc: 4.8313 4.8313 3.7577
angles: 90.00 90.00 102.32
Positions (direct):
Mg  0.0000  0.5000  0.0000
Mg  0.5000  0.0000  0.0000
Sb  0.0000  0.0000  0.5000
As  0.5000  0.5000  0.5000

Computed properties:
**E**: -17.048 eV/atom
**Mass density**: 4.75 g cm⁻³
**Space-group type**: Cmmm, No. 65
**ΔE_f (raw)**: -0.8 eV per formula unit
**Energy above the lowest structure with this stoichiometry**: 91.3 meV/atom
**Spin magnetization**: 0.0 μB/cell

---

Density functional theory data (SCAN) for a PBEsol-optimized structure of MgScAs.

abc: 6.2956 6.0714 3.3738
angles: 77.87 70.54 31.60
Positions (direct):
Mg  0.0000  0.0000  0.0000
Sc  0.7103  0.7103  0.2897
As  0.3446  0.3446  0.6554

Computed properties:
**E**: -13.691 eV/atom
**Mass density**: 3.80 g cm⁻³
**Space-group type**: Fmm2, No. 42
**Spin magnetization**: 0.0 μB/cell

---

Density functional theory data (SCAN) for a PBEsol-optimized structure of Mg4ScAs.

abc: 5.7074 5.7074 5.7074
angles: 60.00 60.00 60.00
Positions (direct):
Mg  0.1253  0.1253  0.1253
Mg  0.1253  0.1253  0.6242
Mg  0.1253  0.6242  0.1253
Mg  0.6242  0.1253  0.1253
Sc  0.5000  0.5000  0.5000
As  0.7500  0.7500  0.7500

Computed properties:
**E**: -8.926 eV/atom
**Mass density**: 2.74 g cm⁻³
**Space-group type**: F-43m, No. 216
**Spin magnetization**: 0.0 μB/cell

---

Density functional theory data (SCAN) for a PBEsol-optimized structure of MgAsSe2.

abc: 8.0935 8.0935 8.0935
angles: 27.45 27.45 27.45
Positions (direct):
Mg  0.0000  0.0000  0.0000
As  0.5000  0.5000  0.5000
Se  0.3954  0.3954  0.3954
Se  0.6046  0.6046  0.6046

Computed properties:
**E**: -16.624 eV/atom
**Mass density**: 4.29 g cm⁻³
**Space-group type**: R-3m, No. 166
**ΔE_f (raw)**: -1.2 eV per formula unit
**Energy above the lowest structure with this stoichiometry**: 339.9 meV/atom
**Spin magnetization**: 0.0 μB/cell

---

Density functional theory data (SCAN) for a PBEsol-optimized structure of Mg3AsSe.

abc: 4.9534 4.9534 4.9534
angles: 90.00 90.00 90.00
Positions (direct):
Mg  0.0000  0.0000  0.5000
Mg  0.0000  0.5000  0.0000
Mg  0.5000  0.0000  0.0000
As  0.5000  0.5000  0.5000
Se  0.0000  0.0000  0.0000

Computed properties:
**E**: -11.161 eV/atom
**Mass density**: 3.10 g cm⁻³
**Space-group type**: Pm-3m, No. 221
**ΔE_f (raw)**: -0.6 eV per formula unit
**Spin magnetization**: 0.0 μB/cell

---

Density functional theory data (SCAN) for a PBEsol-optimized structure of MgAsSe2.

abc: 7.2275 7.2275 7.2275
angles: 32.42 32.42 32.42
Positions (direct):
Mg  0.0000  0.0000  0.0000
As  0.2179  0.2179  0.2179
Se  0.4975  0.4975  0.4975
Se  0.7116  0.7116  0.7116

Computed properties:
**E**: -16.665 eV/atom
**Mass density**: 4.43 g cm⁻³
**Space-group type**: R3m, No. 160
**ΔE_f (raw)**: -1.3 eV per formula unit
**Energy above the lowest structure with this stoichiometry**: 299.1 meV/atom
**Spin magnetization**: 0.0 μB/cell

---

Density functional theory data (SCAN) for a PBEsol-optimized structure of MgAsSe2.

abc: 6.1271 6.1271 6.1271
angles: 141.95 140.94 55.67
Positions (direct):
Mg  0.0000  0.0000  0.0000
As  0.5000  0.5000  0.0000
Se  0.1653  0.6653  0.5000
Se  0.8347  0.3347  0.5000

Computed properties:
**E**: -16.688 eV/atom
**Mass density**: 4.82 g cm⁻³
**Space-group type**: Immm, No. 71
**ΔE_f (raw)**: -1.4 eV per formula unit
**Energy above the lowest structure with this stoichiometry**: 276.2 meV/atom
**Spin magnetization**: 0.0 μB/cell

---

Density functional theory data (SCAN) for a PBEsol-optimized structure of MgAsSe2.

abc: 3.8908 3.8908 5.4771
angles: 90.00 90.00 90.00
Positions (direct):
Mg  0.0000  0.0000  0.0000
As  0.5000  0.5000  0.5000
Se  0.0000  0.0000  0.5000
Se  0.5000  0.5000  0.0000

Computed properties:
**E**: -16.964 eV/atom
**Mass density**: 5.15 g cm⁻³
**Space-group type**: P4/mmm, No. 123
**ΔE_f (raw)**: -2.5 eV per formula unit
**Energy above the lowest structure with this stoichiometry**: 0.0 meV/atom
**Spin magnetization**: 0.0 μB/cell

---

Density functional theory data (SCAN) for a PBEsol-optimized structure of MgAsSe2.

abc: 4.7982 4.7982 3.8630
angles: 90.00 90.00 108.53
Positions (direct):
Mg  0.0000  0.0000  0.0000
As  0.5000  0.5000  0.0000
Se  0.2563  0.7437  0.5000
Se  0.7437  0.2563  0.5000

Computed properties:
**E**: -16.725 eV/atom
**Mass density**: 5.06 g cm⁻³
**Space-group type**: Cmmm, No. 65
**ΔE_f (raw)**: -1.6 eV per formula unit
**Energy above the lowest structure with this stoichiometry**: 238.9 meV/atom
**Spin magnetization**: 0.0 μB/cell

---

Density functional theory data (SCAN) for a PBEsol-optimized structure of MgSiAs2Se.

abc: 4.7325 4.7325 4.8559
angles: 90.00 90.00 90.00
Positions (direct):
Mg  0.0000  0.0000  0.0000
Si  0.5000  0.5000  0.5000
As  0.0000  0.5000  0.5000
As  0.5000  0.0000  0.5000
Se  0.5000  0.5000  0.0000

Computed properties:
**E**: -14.697 eV/atom
**Mass density**: 4.29 g cm⁻³
**Space-group type**: P4/mmm, No. 123
**ΔE_f (raw)**: 2.0 eV per formula unit
**Energy above the lowest structure with this stoichiometry**: 0.0 meV/atom
**Spin magnetization**: 0.0 μB/cell

---

Density functional theory data (SCAN) for a PBEsol-optimized structure of MgSiAs2Se.

abc: 4.8519 4.8519 4.9637
angles: 90.00 90.00 90.00
Positions (direct):
Mg  0.0000  0.0000  0.0000
Si  0.5000  0.5000  0.5000
As  0.0000  0.5000  0.0000
As  0.5000  0.0000  0.0000
Se  0.0000  0.0000  0.5000

Computed properties:
**E**: -14.212 eV/atom
**Mass density**: 4.00 g cm⁻³
**Space-group type**: P4/mmm, No. 123
**ΔE_f (raw)**: 4.4 eV per formula unit
**Energy above the lowest structure with this stoichiometry**: 485.1 meV/atom
**Spin magnetization**: 0.0 μB/cell

---

Density functional theory data (SCAN) for a PBEsol-optimized structure of SrMgAsSe2.

abc: 5.1429 5.1429 4.8492
angles: 90.00 90.00 90.00
Positions (direct):
Sr  0.0000  0.0000  0.0000
Mg  0.5000  0.5000  0.5000
As  0.5000  0.5000  0.0000
Se  0.0000  0.5000  0.5000
Se  0.5000  0.0000  0.5000

Computed properties:
**E**: -18.241 eV/atom
**Mass density**: 4.46 g cm⁻³
**Space-group type**: P4/mmm, No. 123
**ΔE_f (raw)**: -3.6 eV per formula unit
**Spin magnetization**: 0.0 μB/cell

---

Density functional theory data (SCAN) for a PBEsol-optimized structure of MgAs2WSe.

abc: 4.7255 4.7255 5.4125
angles: 90.00 90.00 90.00
Positions (direct):
Mg  0.0000  0.0000  0.0000
As  0.0000  0.5000  0.5000
As  0.5000  0.0000  0.5000
W  0.0000  0.0000  0.5000
Se  0.5000  0.5000  0.0000

Computed properties:
**E**: -26.493 eV/atom
**Mass density**: 6.00 g cm⁻³
**Space-group type**: P4/mmm, No. 123
**ΔE_f (raw)**: 2.7 eV per formula unit
**Spin magnetization**: 0.0 μB/cell

---

Density functional theory data (SCAN) for a PBEsol-optimized structure of Mg2SiAs.

abc: 4.7123 4.7123 4.7123
angles: 60.00 60.00 60.00
Positions (direct):
Mg  0.2500  0.2500  0.2500
Mg  0.7500  0.7500  0.7500
Si  0.0000  0.0000  0.0000
As  0.5000  0.5000  0.5000

Computed properties:
**E**: -10.005 eV/atom
**Mass density**: 3.40 g cm⁻³
**Space-group type**: Fm-3m, No. 225
**ΔE_f (raw)**: 0.1 eV per formula unit
**Energy above the lowest structure with this stoichiometry**: 73.1 meV/atom
**Spin magnetization**: 0.0 μB/cell

---

Density functional theory data (SCAN) for a PBEsol-optimized structure of MgSiAs.

abc: 4.4215 4.4215 4.4215
angles: 60.00 60.00 60.00
Positions (direct):
Mg  0.0000  0.0000  0.0000
Si  0.2500  0.2500  0.2500
As  0.7500  0.7500  0.7500

Computed properties:
**E**: -11.447 eV/atom
**Mass density**: 3.46 g cm⁻³
**Space-group type**: F-43m, No. 216
**ΔE_f (raw)**: 0.8 eV per formula unit
**Spin magnetization**: 0.0 μB/cell

---

Density functional theory data (SCAN) for a PBEsol-optimized structure of Mg2SiAs.

abc: 3.6776 3.6776 5.5671
angles: 90.00 90.00 90.00
Positions (direct):
Mg  0.0000  0.0000  0.0000
Mg  0.5000  0.5000  0.3215
Si  0.0000  0.0000  0.5144
As  0.5000  0.5000  0.8133

Computed properties:
**E**: -9.970 eV/atom
**Mass density**: 3.34 g cm⁻³
**Space-group type**: P4mm, No. 99
**ΔE_f (raw)**: 0.3 eV per formula unit
**Energy above the lowest structure with this stoichiometry**: 108.2 meV/atom
**Spin magnetization**: 0.0 μB/cell

---

Density functional theory data (SCAN) for a PBEsol-optimized structure of Mg2SiAs.

abc: 3.0553 3.0553 7.7753
angles: 90.00 90.00 90.00
Positions (direct):
Mg  0.0000  0.0000  0.2444
Mg  0.0000  0.0000  0.7556
Si  0.5000  0.5000  0.0000
As  0.5000  0.5000  0.5000

Computed properties:
**E**: -10.078 eV/atom
**Mass density**: 3.47 g cm⁻³
**Space-group type**: P4/mmm, No. 123
**ΔE_f (raw)**: -0.2 eV per formula unit
**Energy above the lowest structure with this stoichiometry**: 0.0 meV/atom
**Spin magnetization**: 0.0 μB/cell

---

Density functional theory data (SCAN) for a PBEsol-optimized structure of SrMg2AsW.

abc: 5.1147 5.1147 4.7956
angles: 90.00 90.00 90.00
Positions (direct):
Sr  0.0000  0.0000  0.0000
Mg  0.0000  0.5000  0.5000
Mg  0.5000  0.0000  0.5000
As  0.5000  0.5000  0.5000
W  0.5000  0.5000  0.0000

Computed properties:
**E**: -23.860 eV/atom
**Mass density**: 5.23 g cm⁻³
**Space-group type**: P4/mmm, No. 123
**Spin magnetization**: 0.0 μB/cell

---

Density functional theory data (SCAN) for a PBEsol-optimized structure of MgTa2As.

abc: 10.2463 10.2463 10.2463
angles: 158.24 158.24 30.97
Positions (direct):
Mg  0.0000  0.0000  0.0000
Mg  0.7500  0.2500  0.5000
Ta  0.1310  0.6250  0.0060
Ta  0.3750  0.3810  0.5060
Ta  0.6190  0.1250  0.9940
Ta  0.8750  0.8690  0.4940
As  0.2500  0.7500  0.5000
As  0.5000  0.5000  0.0000

Computed properties:
**E**: -39.215 eV/atom
**Mass density**: 10.36 g cm⁻³
**Space-group type**: I-42d, No. 122
**Energy above the lowest structure with this stoichiometry**: 409.5 meV/atom
**Spin magnetization**: 0.0 μB/cell